CsHRhSeCl PBE-GGA optimized geometry; offset from the most stable computed form = 0.56 eV/f.u.
1.0
6.041 0.000 0.000
0.000 3.690 0.000
-2.554 0.000 6.572
Cs H Rh Se Cl
1 1 1 1 1
Direct
0.000 0.000 0.000
0.511 0.500 0.428
0.393 0.000 0.728
0.297 0.500 0.492
0.492 0.500 0.985


CsHRhSeCl PBE-GGA optimized geometry; offset from the most stable computed form = 0.20 eV/f.u.
1.0
3.838 0.000 0.000
0.757 3.773 0.000
1.245 0.401 8.190
Cs H Rh Se Cl
1 1 1 1 1
Direct
0.000 0.000 0.000
0.710 0.566 0.260
0.648 0.538 0.450
0.271 0.148 0.382
0.574 0.524 0.755


CsHRhSeCl PBE-GGA optimized geometry; offset from the most stable computed form = 0.86 eV/f.u.
1.0
14.835 0.000 0.000
0.000 3.688 0.000
-2.207 0.000 5.311
Cs H Rh Se Cl
2 2 2 2 2
Direct
0.000 0.000 0.000
0.500 0.500 0.000
0.268 0.000 0.414
0.768 0.500 0.414
0.144 0.500 0.604
0.644 0.000 0.604
0.251 0.000 0.657
0.751 0.500 0.657
0.471 0.000 0.474
0.971 0.500 0.474


CsHRhSeCl PBE-GGA optimized geometry; offset from the most stable computed form = 1.59 eV/f.u.
1.0
3.521 0.000 0.000
0.005 5.420 0.000
0.027 2.262 7.206
Cs H Rh Se Cl
1 1 1 1 1
Direct
0.000 0.000 0.000
0.497 0.209 0.585
0.497 0.507 0.515
0.498 0.405 0.239
0.996 0.616 0.704


CsHRhSeCl PBE-GGA optimized geometry; offset from the most stable computed form = 0.09 eV/f.u.
1.0
10.877 0.000 0.000
0.000 3.711 0.000
-4.666 0.000 6.628
Cs H Rh Se Cl
2 2 2 2 2
Direct
0.000 0.000 0.000
0.500 0.500 0.000
0.113 0.500 0.409
0.613 0.000 0.409
0.004 0.500 0.473
0.504 0.000 0.473
0.151 0.000 0.690
0.651 0.500 0.690
0.332 0.500 0.248
0.832 0.000 0.248


CsHRhSeCl PBE-GGA optimized geometry; offset from the most stable computed form = 0.00 eV/f.u.
1.0
5.000 0.000 0.000
0.000 3.681 0.000
-0.382 0.000 7.108
Cs H Rh Se Cl
1 1 1 1 1
Direct
0.000 0.000 0.000
0.828 0.000 0.507
0.521 0.000 0.502
0.531 0.500 0.283
0.485 0.500 0.743


CsHRhSeCl PBE-GGA optimized geometry; offset from the most stable computed form = 0.48 eV/f.u.
1.0
9.738 0.000 0.000
0.000 4.158 0.000
-0.218 0.000 7.352
Cs H Rh Se Cl
2 2 2 2 2
Direct
0.000 0.000 0.000
0.500 0.500 0.000
0.072 0.500 0.369
0.572 0.000 0.369
0.226 0.500 0.436
0.726 0.000 0.436
0.298 0.000 0.322
0.798 0.500 0.322
0.199 0.500 0.758
0.699 0.000 0.758


CsHRhSeCl PBE-GGA optimized geometry; offset from the most stable computed form = 0.38 eV/f.u.
1.0
15.346 0.000 0.000
0.000 3.662 0.000
-0.107 0.000 4.967
Cs H Rh Se Cl
2 2 2 2 2
Direct
0.000 0.000 0.000
0.500 0.500 0.000
0.263 0.500 0.161
0.763 0.000 0.161
0.258 0.500 0.469
0.758 0.000 0.469
0.357 0.000 0.483
0.857 0.500 0.483
0.101 0.500 0.504
0.601 0.000 0.504


CsHRhSeCl PBE-GGA optimized geometry; offset from the most stable computed form = 0.20 eV/f.u.
1.0
6.977 0.000 0.000
0.000 4.389 0.000
-2.262 0.000 8.035
Cs H Rh Se Cl
2 2 2 2 2
Direct
0.000 0.000 0.000
0.500 0.500 0.000
0.404 0.000 0.226
0.904 0.500 0.226
0.468 0.000 0.421
0.968 0.500 0.421
0.287 0.500 0.347
0.787 0.000 0.347
0.057 0.500 0.726
0.557 0.000 0.726


CsHRhSeCl PBE-GGA optimized geometry; offset from the most stable computed form = 0.34 eV/f.u.
1.0
13.851 0.000 0.000
0.000 3.936 0.000
-0.449 0.000 5.105
Cs H Rh Se Cl
2 2 2 2 2
Direct
0.000 0.000 0.000
0.500 0.500 0.000
0.134 0.000 0.523
0.634 0.500 0.523
0.247 0.000 0.567
0.747 0.500 0.567
0.218 0.500 0.801
0.718 0.000 0.801
0.420 0.000 0.482
0.920 0.500 0.482


Density functional theory data (PBE-GGA) for Cs2HRuCl6 after structural relaxation.

POSCAR file:
```
Cs2HRuCl6
1.0
-3.727 3.727 5.286
3.727 -3.727 5.286
3.727 3.727 -5.286
Cs H Ru Cl
2 1 1 6
Direct
0.250 0.750 0.500
0.750 0.250 0.500
0.000 0.000 0.000
0.500 0.500 0.000
0.276 0.276 0.552
0.276 0.724 0.000
0.277 0.277 0.000
0.723 0.723 0.000
0.724 0.276 0.000
0.724 0.724 0.448
```


Density functional theory data (PBE-GGA) for CsH2RuCl8 after structural relaxation.

POSCAR file:
```
CsH2RuCl8
1.0
6.713 0.000 0.000
3.040 6.000 0.000
2.391 1.411 9.136
Cs H Ru Cl
1 2 1 8
Direct
0.000 0.000 0.000
0.275 0.277 0.222
0.725 0.723 0.778
0.000 0.000 0.500
0.212 0.213 0.450
0.220 0.753 0.674
0.249 0.781 0.324
0.319 0.320 0.077
0.681 0.680 0.923
0.751 0.219 0.676
0.780 0.247 0.326
0.788 0.787 0.550
```


CsHSCl2 PBE-GGA optimized geometry; offset from the most stable computed form = 4.75 eV/f.u.
1.0
6.277 0.000 0.000
0.000 6.277 0.000
0.000 0.000 5.745
Cs H S Cl
1 1 1 2
Direct
0.000 0.000 0.000
0.500 0.500 0.500
0.000 0.000 0.500
0.000 0.500 0.000
0.500 0.000 0.000


CsHSCl2 PBE-GGA optimized geometry; offset from the most stable computed form = 0.00 eV/f.u.
1.0
5.971 0.000 0.000
0.000 5.971 0.000
0.000 0.000 3.450
Cs H S Cl
1 1 1 2
Direct
0.000 0.000 0.000
0.500 0.500 0.500
0.500 0.500 0.000
0.000 0.500 0.500
0.500 0.000 0.500


Density functional theory data (PBE-GGA) for Cs2HSCl6 after structural relaxation.

POSCAR file:
```
Cs2HSCl6
1.0
-3.414 3.414 5.692
3.414 -3.414 5.692
3.414 3.414 -5.692
Cs H S Cl
2 1 1 6
Direct
0.250 0.750 0.500
0.750 0.250 0.500
0.000 0.000 0.000
0.500 0.500 0.000
0.242 0.242 0.485
0.242 0.758 0.000
0.297 0.297 0.000
0.703 0.703 0.000
0.758 0.242 0.000
0.758 0.758 0.515
```


Cs2SbHCl6 PBE-GGA optimized geometry; offset from the most stable computed form = 2.63 eV/f.u.
1.0
-3.495 3.495 5.974
3.495 -3.495 5.974
3.495 3.495 -5.974
Cs Sb H Cl
2 1 1 6
Direct
0.250 0.750 0.500
0.750 0.250 0.500
0.000 0.000 0.000
0.500 0.500 0.000
0.220 0.220 0.000
0.268 0.268 0.535
0.268 0.732 0.000
0.732 0.268 0.000
0.732 0.732 0.465
0.780 0.780 0.000


Cs2SbHCl6 PBE-GGA optimized geometry; offset from the most stable computed form = 0.00 eV/f.u.
1.0
5.248 -6.053 0.000
5.248 6.053 0.000
-5.017 0.000 5.336
Cs Sb H Cl
2 1 1 6
Direct
0.241 0.759 0.000
0.759 0.241 0.000
0.494 0.494 0.491
0.780 0.780 0.228
0.228 0.228 0.030
0.276 0.714 0.495
0.322 0.322 0.602
0.714 0.276 0.495
0.751 0.751 0.392
0.810 0.810 0.021


Density functional theory data (PBE-GGA) for Cs2SiHCl6 after structural relaxation.

POSCAR file:
```
Cs2SiHCl6
1.0
-3.716 3.716 5.268
3.716 -3.716 5.268
3.716 3.716 -5.268
Cs Si H Cl
2 1 1 6
Direct
0.250 0.750 0.500
0.750 0.250 0.500
0.000 0.000 0.000
0.500 0.500 0.000
0.213 0.213 0.000
0.214 0.214 0.428
0.214 0.786 0.000
0.786 0.214 0.000
0.786 0.786 0.572
0.787 0.787 0.000
```


Density functional theory data (PBE-GGA) for Cs2SnHCl6 after structural relaxation.

POSCAR file:
```
Cs2SnHCl6
1.0
0.000 5.395 5.395
5.395 0.000 5.395
5.395 5.395 0.000
Cs Sn H Cl
2 1 1 6
Direct
0.250 0.250 0.250
0.750 0.750 0.750
0.000 0.000 0.000
0.500 0.500 0.500
0.230 0.230 0.770
0.230 0.770 0.230
0.230 0.770 0.770
0.770 0.230 0.230
0.770 0.230 0.770
0.770 0.770 0.230
```


Density functional theory data (PBE-GGA) for CsSrHCl2 after structural relaxation.

POSCAR file:
```
CsSrHCl2
1.0
5.811 0.000 0.000
0.000 5.811 0.000
0.000 0.000 4.771
Cs Sr H Cl
1 1 1 2
Direct
0.000 0.000 0.000
0.500 0.500 0.500
0.500 0.500 0.000
0.000 0.500 0.500
0.500 0.000 0.500
```


Density functional theory data (PBE-GGA) for CsSrH2Cl after structural relaxation.

POSCAR file:
```
CsSrH2Cl
1.0
4.927 0.000 0.000
0.000 4.927 0.000
0.000 0.000 5.816
Cs Sr H Cl
1 1 2 1
Direct
0.000 0.000 0.000
0.500 0.500 0.500
0.000 0.500 0.500
0.500 0.000 0.500
0.500 0.500 0.000
```


Density functional theory data (PBE-GGA) for Cs2SrH2Cl2 after structural relaxation.

POSCAR file:
```
Cs2SrH2Cl2
1.0
4.971 0.000 0.000
0.000 4.971 0.000
0.000 0.000 17.907
Cs Sr H Cl
4 2 4 4
Direct
0.000 0.000 0.140
0.000 0.000 0.860
0.500 0.500 0.360
0.500 0.500 0.640
0.000 0.000 0.500
0.500 0.500 0.000
0.000 0.500 0.000
0.000 0.500 0.500
0.500 0.000 0.000
0.500 0.000 0.500
0.000 0.000 0.338
0.000 0.000 0.662
0.500 0.500 0.162
0.500 0.500 0.838
```


Density functional theory data (PBE-GGA) for Cs2TaHCl6 after structural relaxation.

POSCAR file:
```
Cs2TaHCl6
1.0
0.000 5.372 5.372
5.372 0.000 5.372
5.372 5.372 0.000
Cs Ta H Cl
2 1 1 6
Direct
0.250 0.250 0.250
0.750 0.750 0.750
0.000 0.000 0.000
0.500 0.500 0.500
0.226 0.226 0.774
0.226 0.774 0.226
0.226 0.774 0.774
0.774 0.226 0.226
0.774 0.226 0.774
0.774 0.774 0.226
```


Density functional theory data (PBE-GGA) for CsTaH2Cl8 after structural relaxation.

POSCAR file:
```
CsTaH2Cl8
1.0
6.756 0.000 0.000
1.891 6.542 0.000
2.510 1.971 9.037
Cs Ta H Cl
1 1 2 8
Direct
0.000 0.000 0.000
0.000 0.000 0.500
0.458 0.721 0.259
0.542 0.279 0.741
0.100 0.211 0.617
0.113 0.211 0.266
0.342 0.776 0.485
0.473 0.299 0.879
0.527 0.701 0.121
0.658 0.224 0.515
0.887 0.789 0.734
0.900 0.789 0.383
```


Number 1: calculated volume 146 Å³ per cell, total DFT energy (no corrections) -19.48 eV per formula unit. Number 2: calculated volume 119 Å³ per cell, total DFT energy (no corrections) -19.85 eV per formula unit. Number 3: calculated volume 291 Å³ per cell, total DFT energy (no corrections) -19.19 eV per formula unit. Number 4: calculated volume 137 Å³ per cell, total DFT energy (no corrections) -18.46 eV per formula unit. Number 5: calculated volume 268 Å³ per cell, total DFT energy (no corrections) -19.96 eV per formula unit. Number 6: calculated volume 131 Å³ per cell, total DFT energy (no corrections) -20.05 eV per formula unit. Number 7: calculated volume 298 Å³ per cell, total DFT energy (no corrections) -19.57 eV per formula unit. Number 8: calculated volume 279 Å³ per cell, total DFT energy (no corrections) -19.66 eV per formula unit. Number 9: calculated volume 246 Å³ per cell, total DFT energy (no corrections) -19.85 eV per formula unit. Number 10: calculated volume 278 Å³ per cell, total DFT energy (no corrections) -19.71 eV per formula unit. Number 11: calculated volume 294 Å³ per cell, total DFT energy (no corrections) -34.46 eV per formula unit. Number 12: calculated volume 368 Å³ per cell, total DFT energy (no corrections) -40.50 eV per formula unit. Number 13: calculated volume 226 Å³ per cell, total DFT energy (no corrections) -8.61 eV per formula unit. Number 14: calculated volume 123 Å³ per cell, total DFT energy (no corrections) -13.36 eV per formula unit. Number 15: calculated volume 265 Å³ per cell, total DFT energy (no corrections) -27.13 eV per formula unit. Number 16: calculated volume 292 Å³ per cell, total DFT energy (no corrections) -30.67 eV per formula unit. Number 17: calculated volume 339 Å³ per cell, total DFT energy (no corrections) -33.30 eV per formula unit. Number 18: calculated volume 291 Å³ per cell, total DFT energy (no corrections) -33.22 eV per formula unit. Number 19: calculated volume 314 Å³ per cell, total DFT energy (no corrections) -31.59 eV per formula unit. Number 20: calculated volume 161 Å³ per cell, total DFT energy (no corrections) -17.90 eV per formula unit. Number 21: calculated volume 141 Å³ per cell, total DFT energy (no corrections) -16.12 eV per formula unit. Number 22: calculated volume 442 Å³ per cell, total DFT energy (no corrections) -22.92 eV per formula unit. Number 23: calculated volume 310 Å³ per cell, total DFT energy (no corrections) -40.72 eV per formula unit. Number 24: calculated volume 399 Å³ per cell, total DFT energy (no corrections) -48.78 eV per formula unit.